(1)
VASP calculation (GGA+U) on ZrWF2 after structural relaxation.

POSCAR file:
```
ZrWF2
1.0
1.643 0.000 7.822
-0.821 1.423 7.822
-0.821 -1.423 7.822
F Zr W
2 1 1
Direct
0.903 0.903 0.903
0.097 0.097 0.097
0.500 0.500 0.500
0.000 0.000 0.000
```

Space group: No. 166



(2)
VASP calculation (GGA+U) on ZrW3F after structural relaxation.

POSCAR file:
```
ZrW3F
1.0
-3.623 -3.723 -1.502
0.634 -2.529 4.737
-3.964 2.998 2.131
W Zr F
3 1 1
Direct
0.000 0.000 0.500
0.500 0.000 0.000
0.000 0.500 0.000
0.000 0.000 0.000
0.500 0.500 0.500
```

Space group: No. 221



(3)
VASP calculation (GGA+U) on ZrWF2 after structural relaxation.

POSCAR file:
```
ZrWF2
1.0
4.292 0.000 0.000
0.000 4.292 0.000
2.146 2.146 7.265
F W Zr
4 2 2
Direct
0.375 0.489 0.750
0.875 0.761 0.750
0.239 0.625 0.250
0.511 0.125 0.250
0.750 0.250 0.500
0.000 0.000 0.000
0.500 0.500 0.000
0.250 0.750 0.500
```

Space group: No. 122



(4)
VASP calculation (GGA+U) on ZrWF2 after structural relaxation.

POSCAR file:
```
ZrWF2
1.0
1.717 0.000 8.657
-0.859 1.487 8.657
-0.859 -1.487 8.657
F Zr W
2 1 1
Direct
0.077 0.077 0.077
0.923 0.923 0.923
0.000 0.000 0.000
0.500 0.500 0.500
```

Space group: No. 166



no.,offset from the most stable computed form (meV per atom)
1,0
2,1294
3,128
4,397